# 1
Here is an optimized crystal structure of Ta2Co3Ir2 from Alexandria. Energies are from PBE.

Energy of formation from the pure elements   -0.30 eV/atom

Unit cell a=8.716 b=3.725 c=6.041 alpha=90.00 beta=97.85 gamma=90.00
Space group C2/m (No. 12)
Symmetry-distinct sites (fractional):
Ta: 0.077 0.000 0.235 x4
Co: 0.000 0.500 0.500 x2
Co: 0.213 0.000 0.631 x4
Ir: 0.142 0.500 0.911 x4


# 2
Here is an optimized crystal structure of TaCoIr2 from Alexandria. Energies are from PBE.

Energy of formation from the pure elements   0.03 eV/atom

Unit cell a=2.7627 b=2.7627 c=26.5587 alpha=90.00 beta=90.00 gamma=120.00
Space group R3m (No. 160, hexagonal axes)
Symmetry-distinct sites (fractional):
Ta: 0.0000 0.0000 0.0000 x3
Co: 0.0000 0.0000 0.7507 x3
Ir: 0.0000 0.0000 0.2466 x3
Ir: 0.0000 0.0000 0.4938 x3